Record 1
! MgNiBiRh | the Alexandria database | PBE | optimized geometry; values from VASP
! * formation enthalpy at 0 K: -130 meV/atom
! * symmetry: F-43m (216)
! * ρ: 9.66 g/cm3
&SYSTEM
  ibrav = 0, nat = 4, ntyp = 4
/
ATOMIC_SPECIES
Mg 24.30 Mg.upf
Ni 58.69 Ni.upf
Bi 208.98 Bi.upf
Rh 102.91 Rh.upf
CELL_PARAMETERS angstrom
0.000 3.238 3.238
3.238 0.000 3.238
3.238 3.238 0.000
ATOMIC_POSITIONS angstrom
Mg 0.000 0.000 0.000
Ni 1.619 1.619 1.619
Bi 3.238 3.238 3.238
Rh 4.857 4.857 4.857

---

Record 2
! MgSc2NiBi | the Alexandria database | PBE | optimized geometry; values from VASP
! * formation enthalpy at 0 K: 493 meV/atom
! * symmetry: P4/mmm (123)
! * ρ: 4.40 g/cm3
&SYSTEM
  ibrav = 0, nat = 5, ntyp = 4
/
ATOMIC_SPECIES
Mg 24.30 Mg.upf
Sc 44.96 Sc.upf
Ni 58.69 Ni.upf
Bi 208.98 Bi.upf
CELL_PARAMETERS angstrom
5.485 0.000 0.000
0.000 5.485 0.000
0.000 0.000 4.790
ATOMIC_POSITIONS angstrom
Mg 0.000 0.000 0.000
Sc 0.000 2.743 2.395
Sc 2.743 0.000 2.395
Ni 2.743 2.743 0.000
Bi 2.743 2.743 2.395

---

Record 3
! MgNiSn2Bi | the Alexandria database | PBE | optimized geometry; values from VASP
! * formation enthalpy at 0 K: -15 meV/atom
! * symmetry: P4/mmm (123)
! * ρ: 7.06 g/cm3
&SYSTEM
  ibrav = 0, nat = 5, ntyp = 4
/
ATOMIC_SPECIES
Mg 24.30 Mg.upf
Ni 58.69 Ni.upf
Sn 118.71 Sn.upf
Bi 208.98 Bi.upf
CELL_PARAMETERS angstrom
4.960 0.000 0.000
0.000 4.960 0.000
0.000 0.000 5.062
ATOMIC_POSITIONS angstrom
Mg 0.000 0.000 0.000
Ni 0.000 0.000 2.531
Sn 0.000 2.480 2.531
Sn 2.480 0.000 2.531
Bi 2.480 2.480 0.000

---

Record 4
! Sr2MgNiBi | the Alexandria database | PBE | optimized geometry; values from VASP
! * formation enthalpy at 0 K: 585 meV/atom
! * symmetry: P4/mmm (123)
! * ρ: 3.76 g/cm3
&SYSTEM
  ibrav = 0, nat = 5, ntyp = 4
/
ATOMIC_SPECIES
Sr 87.62 Sr.upf
Mg 24.30 Mg.upf
Ni 58.69 Ni.upf
Bi 208.98 Bi.upf
CELL_PARAMETERS angstrom
6.283 0.000 0.000
0.000 6.283 0.000
0.000 0.000 5.228
ATOMIC_POSITIONS angstrom
Sr 0.000 3.141 0.000
Sr 3.141 0.000 0.000
Mg 0.000 0.000 0.000
Ni 3.141 3.141 2.614
Bi 0.000 0.000 2.614

---

Record 5
! MgNiBi2Te | the Alexandria database | PBE | optimized geometry; values from VASP
! * energy relative to the elements, uncorrected: 2.88 eV/f.u.
! * symmetry: P4/mmm (123)
! * ρ: 6.29 g/cm3
&SYSTEM
  ibrav = 0, nat = 5, ntyp = 4
/
ATOMIC_SPECIES
Mg 24.30 Mg.upf
Ni 58.69 Ni.upf
Bi 208.98 Bi.upf
Te 127.60 Te.upf
CELL_PARAMETERS angstrom
6.046 0.000 0.000
0.000 6.046 0.000
0.000 0.000 4.537
ATOMIC_POSITIONS angstrom
Mg 0.000 0.000 0.000
Ni 3.023 3.023 0.000
Bi 0.000 3.023 2.268
Bi 3.023 0.000 2.268
Te 3.023 3.023 2.268

---

Record 6
! MgTlNiBi2 | the Alexandria database | PBE | optimized geometry; values from VASP
! * formation enthalpy at 0 K: 592 meV/atom
! * symmetry: P4/mmm (123)
! * ρ: 7.95 g/cm3
&SYSTEM
  ibrav = 0, nat = 5, ntyp = 4
/
ATOMIC_SPECIES
Mg 24.30 Mg.upf
Tl 204.38 Tl.upf
Ni 58.69 Ni.upf
Bi 208.98 Bi.upf
CELL_PARAMETERS angstrom
5.571 0.000 0.000
0.000 5.571 0.000
0.000 0.000 4.745
ATOMIC_POSITIONS angstrom
Mg 0.000 0.000 0.000
Tl 2.785 2.785 2.372
Ni 0.000 0.000 2.372
Bi 0.000 2.785 0.000
Bi 2.785 0.000 0.000

---

Record 7
! YMgNiBi2 | the Alexandria database | PBE | optimized geometry; values from VASP
! * formation enthalpy at 0 K: -69 meV/atom
! * symmetry: P4/mmm (123)
! * ρ: 7.51 g/cm3
&SYSTEM
  ibrav = 0, nat = 5, ntyp = 4
/
ATOMIC_SPECIES
Y 88.91 Y.upf
Mg 24.30 Mg.upf
Ni 58.69 Ni.upf
Bi 208.98 Bi.upf
CELL_PARAMETERS angstrom
5.280 0.000 0.000
0.000 5.280 0.000
0.000 0.000 4.682
ATOMIC_POSITIONS angstrom
Y 0.000 0.000 0.000
Mg 2.640 2.640 0.000
Ni 2.640 2.640 2.341
Bi 0.000 2.640 2.341
Bi 2.640 0.000 2.341

---

Record 8
! Y2MgNiBi | the Alexandria database | PBE | optimized geometry; values from VASP
! * formation enthalpy at 0 K: -356 meV/atom
! * symmetry: P4/mmm (123)
! * ρ: 5.93 g/cm3
&SYSTEM
  ibrav = 0, nat = 5, ntyp = 4
/
ATOMIC_SPECIES
Y 88.91 Y.upf
Mg 24.30 Mg.upf
Ni 58.69 Ni.upf
Bi 208.98 Bi.upf
CELL_PARAMETERS angstrom
5.191 0.000 0.000
0.000 5.191 0.000
0.000 0.000 4.881
ATOMIC_POSITIONS angstrom
Y 0.000 2.595 0.000
Y 2.595 0.000 0.000
Mg 0.000 0.000 2.440
Ni 0.000 0.000 0.000
Bi 2.595 2.595 2.440